# GaFeOs2Br GGA-PBE optimized geometry
data_GaFeOs2Br
_cell_length_a 4.6167
_cell_length_b 4.6167
_cell_length_c 4.2733
_cell_angle_alpha 90.00
_cell_angle_beta 90.00
_cell_angle_gamma 90.00
_space_group_name_H-M_alt 'P 4/m m m'
_space_group_IT_number 123
_space_group_name_Hall '-P 4 2'
loop_
_atom_site_label
_atom_site_fract_x
_atom_site_fract_y
_atom_site_fract_z
Ga1 0.0000 0.0000 0.0000
Fe1 0.5000 0.5000 0.0000
Os1 0.0000 0.5000 0.5000
Br1 0.5000 0.5000 0.5000
# M_tot in μB/f.u.: 3.0
# Energy relative to the elements, uncorrected in kJ/mol of formula units: 937
# Density of states at the Fermi level in states/eV/f.u.: 5.090
# Density in Mg/m³: 10.68
# Electronic total energy in eV/atom: -5.181

---

# GaFeSeBr2 GGA-PBE optimized geometry
data_GaFeSeBr2
_cell_length_a 5.0324
_cell_length_b 5.0324
_cell_length_c 5.0336
_cell_angle_alpha 90.00
_cell_angle_beta 90.00
_cell_angle_gamma 90.00
_space_group_name_H-M_alt 'P 4/m m m'
_space_group_IT_number 123
_space_group_name_Hall '-P 4 2'
loop_
_atom_site_label
_atom_site_fract_x
_atom_site_fract_y
_atom_site_fract_z
Ga1 0.0000 0.0000 0.0000
Fe1 0.5000 0.5000 0.5000
Se1 0.0000 0.0000 0.5000
Br1 0.0000 0.5000 0.0000
# M_tot in μB/f.u.: 3.8
# Offset from the most stable computed form in eV per atom: 0.525
# Energy relative to the elements, uncorrected in kJ/mol of formula units: 191
# Density of states at the Fermi level in states/eV/f.u.: 5.341
# Density in Mg/m³: 4.75
# Electronic total energy in eV/atom: -3.267

---

# GaFeSeBr2 GGA-PBE optimized geometry
data_GaFeSeBr2
_cell_length_a 5.2532
_cell_length_b 5.2532
_cell_length_c 4.7638
_cell_angle_alpha 90.00
_cell_angle_beta 90.00
_cell_angle_gamma 90.00
_space_group_name_H-M_alt 'P 4/m m m'
_space_group_IT_number 123
_space_group_name_Hall '-P 4 2'
loop_
_atom_site_label
_atom_site_fract_x
_atom_site_fract_y
_atom_site_fract_z
Ga1 0.0000 0.0000 0.0000
Fe1 0.5000 0.5000 0.5000
Se1 0.5000 0.5000 0.0000
Br1 0.0000 0.5000 0.5000
# M_tot in μB/f.u.: 4.2
# Offset from the most stable computed form in eV per atom: 0.000
# Energy relative to the elements, uncorrected in kJ/mol of formula units: -62
# Density of states at the Fermi level in states/eV/f.u.: 2.481
# Density in Mg/m³: 4.60
# Electronic total energy in eV/atom: -3.793

---

# TlGaFeBr2 GGA-PBE optimized geometry
data_TlGaFeBr2
_cell_length_a 6.2032
_cell_length_b 6.2032
_cell_length_c 5.7828
_cell_angle_alpha 90.00
_cell_angle_beta 90.00
_cell_angle_gamma 90.00
_space_group_name_H-M_alt 'P 4/m m m'
_space_group_IT_number 123
_space_group_name_Hall '-P 4 2'
loop_
_atom_site_label
_atom_site_fract_x
_atom_site_fract_y
_atom_site_fract_z
Tl1 0.0000 0.0000 0.0000
Ga1 0.0000 0.0000 0.5000
Fe1 0.5000 0.5000 0.5000
Br1 0.0000 0.5000 0.0000
# M_tot in μB/f.u.: 4.3
# Energy relative to the elements, uncorrected in kJ/mol of formula units: 318
# Density of states at the Fermi level in states/eV/f.u.: 5.300
# Density in Mg/m³: 3.65
# Electronic total energy in eV/atom: -2.782

---

# FeGe2Br GGA-PBE optimized geometry
data_FeGe2Br
_cell_length_a 6.7828
_cell_length_b 6.7828
_cell_length_c 6.7828
_cell_angle_alpha 90.00
_cell_angle_beta 90.00
_cell_angle_gamma 90.00
_space_group_name_H-M_alt 'F m -3 m'
_space_group_IT_number 225
_space_group_name_Hall '-F 4 2 3'
loop_
_atom_site_label
_atom_site_fract_x
_atom_site_fract_y
_atom_site_fract_z
Fe1 0.0000 0.0000 0.0000
Ge1 0.2500 0.2500 0.2500
Br1 0.0000 0.0000 0.5000
# M_tot in μB/f.u.: 2.7
# Offset from the most stable computed form in eV per atom: 0.374
# Energy relative to the elements, uncorrected in kJ/mol of formula units: 290
# Density of states at the Fermi level in states/eV/f.u.: 6.544
# Density in Mg/m³: 5.98
# Electronic total energy in eV/atom: -4.091

---

# FeGe3Br GGA-PBE optimized geometry
data_FeGe3Br
_cell_length_a 5.0901
_cell_length_b 5.0901
_cell_length_c 5.0901
_cell_angle_alpha 90.00
_cell_angle_beta 90.00
_cell_angle_gamma 90.00
_space_group_name_H-M_alt 'P m -3 m'
_space_group_IT_number 221
_space_group_name_Hall '-P 4 2 3'
loop_
_atom_site_label
_atom_site_fract_x
_atom_site_fract_y
_atom_site_fract_z
Fe1 0.0000 0.0000 0.0000
Ge1 0.0000 0.5000 0.5000
Br1 0.5000 0.5000 0.5000
# M_tot in μB/f.u.: 3.1
# Offset from the most stable computed form in eV per atom: 1.388
# Energy relative to the elements, uncorrected in kJ/mol of formula units: 673
# Density of states at the Fermi level in states/eV/f.u.: 3.077
# Density in Mg/m³: 4.45
# Electronic total energy in eV/atom: -3.403

---

# Fe2GeBr8 GGA-PBE optimized geometry
data_Fe2GeBr8
_cell_length_a 12.5445
_cell_length_b 10.3856
_cell_length_c 6.5773
_cell_angle_alpha 90.00
_cell_angle_beta 95.73
_cell_angle_gamma 90.00
_space_group_name_H-M_alt 'C 1 2/m 1'
_space_group_IT_number 12
loop_
_space_group_symop_operation_xyz
'x,y,z'
'-x,-y,-z'
'-x,y,-z'
'x,-y,z'
'x+1/2,y+1/2,z'
'-x+1/2,-y+1/2,-z'
'-x+1/2,y+1/2,-z'
'x+1/2,-y+1/2,z'
loop_
_atom_site_label
_atom_site_fract_x
_atom_site_fract_y
_atom_site_fract_z
Fe1 0.1979 0.0000 0.1403
Ge1 0.0000 0.0000 0.5000
Br1 0.1031 0.1784 0.2671
Br2 0.1243 0.5000 0.7361
Br3 0.1899 0.0000 0.7775
# M_tot in μB/f.u.: 10.0
# Energy relative to the elements, uncorrected in kJ/mol of formula units: -532
# Density in Mg/m³: 3.21
# Electronic total energy in eV/atom: -3.676

---

# FeGeBr2 GGA-PBE optimized geometry
data_FeGeBr2
_cell_length_a 6.9617
_cell_length_b 6.9617
_cell_length_c 6.9617
_cell_angle_alpha 90.00
_cell_angle_beta 90.00
_cell_angle_gamma 90.00
_space_group_name_H-M_alt 'F m -3 m'
_space_group_IT_number 225
_space_group_name_Hall '-F 4 2 3'
loop_
_atom_site_label
_atom_site_fract_x
_atom_site_fract_y
_atom_site_fract_z
Fe1 0.0000 0.0000 0.0000
Ge1 0.0000 0.0000 0.5000
Br1 0.2500 0.2500 0.2500
# M_tot in μB/f.u.: 2.9
# Offset from the most stable computed form in eV per atom: 0.101
# Energy relative to the elements, uncorrected in kJ/mol of formula units: 178
# Density of states at the Fermi level in states/eV/f.u.: 3.059
# Density in Mg/m³: 5.68
# Electronic total energy in eV/atom: -3.646

---

# Fe2GeBr GGA-PBE optimized geometry
data_Fe2GeBr
_cell_length_a 6.2209
_cell_length_b 6.2209
_cell_length_c 8.2764
_cell_angle_alpha 90.00
_cell_angle_beta 90.00
_cell_angle_gamma 90.00
_space_group_name_H-M_alt 'I -4 2 d'
_space_group_IT_number 122
_space_group_name_Hall 'I -4 2bw'
loop_
_atom_site_label
_atom_site_fract_x
_atom_site_fract_y
_atom_site_fract_z
Fe1 0.2387 0.2500 0.1250
Ge1 0.0000 0.0000 0.0000
Br1 0.0000 0.0000 0.5000
# M_tot in μB/f.u.: 5.3
# Offset from the most stable computed form in eV per atom: 0.000
# Energy relative to the elements, uncorrected in kJ/mol of formula units: 230
# Density of states at the Fermi level in states/eV/f.u.: 6.001
# Density in Mg/m³: 5.48
# Electronic total energy in eV/atom: -5.207

---

# Fe3GeBr9 GGA-PBE optimized geometry
data_Fe3GeBr9
_cell_length_a 18.6220
_cell_length_b 9.4301
_cell_length_c 13.4549
_cell_angle_alpha 90.00
_cell_angle_beta 129.50
_cell_angle_gamma 90.00
_space_group_name_H-M_alt 'C 1 c 1'
_space_group_IT_number 9
loop_
_space_group_symop_operation_xyz
'x,y,z'
'x,-y,z+1/2'
'x+1/2,y+1/2,z'
'x+1/2,-y+1/2,z+1/2'
loop_
_atom_site_label
_atom_site_fract_x
_atom_site_fract_y
_atom_site_fract_z
Fe1 0.0000 0.0768 0.0000
Fe2 0.2794 0.3891 0.6565
Fe3 0.3676 0.0795 0.5409
Ge1 0.1485 0.2715 0.8354
Br1 0.9995 0.4916 0.2470
Br2 0.0407 0.0126 0.6938
Br3 0.1270 0.1776 0.0247
Br4 0.1579 0.4257 0.6687
Br5 0.2436 0.1665 0.5409
Br6 0.2874 0.4304 0.0384
Br7 0.2934 0.1187 0.8925
Br8 0.3758 0.2470 0.4072
Br9 0.4388 0.3687 0.8568
# M_tot in μB/f.u.: 13.0
# Energy relative to the elements, uncorrected in kJ/mol of formula units: -547
# Density of states at the Fermi level in states/eV/f.u.: 10.788
# Density in Mg/m³: 3.50
# Electronic total energy in eV/atom: -3.902

---

# Fe2GeBr GGA-PBE optimized geometry
data_Fe2GeBr
_cell_length_a 6.2193
_cell_length_b 6.2193
_cell_length_c 6.2193
_cell_angle_alpha 90.00
_cell_angle_beta 90.00
_cell_angle_gamma 90.00
_space_group_name_H-M_alt 'F m -3 m'
_space_group_IT_number 225
_space_group_name_Hall '-F 4 2 3'
loop_
_atom_site_label
_atom_site_fract_x
_atom_site_fract_y
_atom_site_fract_z
Fe1 0.2500 0.2500 0.2500
Ge1 0.0000 0.0000 0.0000
Br1 0.0000 0.0000 0.5000
# M_tot in μB/f.u.: 4.3
# Offset from the most stable computed form in eV per atom: 0.010
# Energy relative to the elements, uncorrected in kJ/mol of formula units: 235
# Density of states at the Fermi level in states/eV/f.u.: 4.202
# Density in Mg/m³: 7.30
# Electronic total energy in eV/atom: -5.196

---

# FeGe3Br GGA-PBE optimized geometry
data_FeGe3Br
_cell_length_a 4.7122
_cell_length_b 4.7122
_cell_length_c 4.7122
_cell_angle_alpha 90.00
_cell_angle_beta 90.00
_cell_angle_gamma 90.00
_space_group_name_H-M_alt 'P m -3 m'
_space_group_IT_number 221
_space_group_name_Hall '-P 4 2 3'
loop_
_atom_site_label
_atom_site_fract_x
_atom_site_fract_y
_atom_site_fract_z
Fe1 0.0000 0.0000 0.0000
Ge1 0.0000 0.0000 0.5000
Br1 0.5000 0.5000 0.5000
# M_tot in μB/f.u.: 0.0
# Offset from the most stable computed form in eV per atom: 0.000
# Energy relative to the elements, uncorrected in kJ/mol of formula units: 3
# Density of states at the Fermi level in states/eV/f.u.: 4.833
# Density in Mg/m³: 5.61
# Electronic total energy in eV/atom: -4.791

---

# FeGeBr2 GGA-PBE optimized geometry
data_FeGeBr2
_cell_length_a 6.7746
_cell_length_b 6.7746
_cell_length_c 9.8517
_cell_angle_alpha 90.00
_cell_angle_beta 90.00
_cell_angle_gamma 90.00
_space_group_name_H-M_alt 'I -4 2 d'
_space_group_IT_number 122
_space_group_name_Hall 'I -4 2bw'
loop_
_atom_site_label
_atom_site_fract_x
_atom_site_fract_y
_atom_site_fract_z
Fe1 0.0000 0.0000 0.0000
Ge1 0.0000 0.0000 0.5000
Br1 0.1862 0.2500 0.1250
# M_tot in μB/f.u.: 2.0
# Offset from the most stable computed form in eV per atom: 0.000
# Energy relative to the elements, uncorrected in kJ/mol of formula units: 139
# Density of states at the Fermi level in states/eV/f.u.: 1.166
# Density in Mg/m³: 4.24
# Electronic total energy in eV/atom: -3.747